DFT (PBE) results for crystalline Ac2LaCeBi5 at its relaxed geometry.

POSCAR file:
```
Ac2LaCeBi5
1.0
-1.774 -3.654 3.867
4.979 -2.576 -0.149
4.121 7.448 8.926
Ac Bi La Ce
2 5 1 1
Direct
0.500 0.500 0.721
0.500 0.500 0.279
0.500 0.000 0.500
0.000 0.500 0.500
0.000 0.000 0.250
0.500 0.500 0.000
0.000 0.000 0.750
0.000 0.000 0.000
0.000 0.000 0.500
```

Its space group is P4/mmm, No. 123. The calculation puts the formation energy at -3.08 eV/f.u.

DFT (PBE) results for crystalline Y2ZrCl at its relaxed geometry.

POSCAR file:
```
Y2ZrCl
1.0
8.601 0.054 0.138
-3.689 4.234 -0.080
1.223 1.142 2.891
Cl Y Zr
1 2 1
Direct
0.500 0.500 0.000
0.000 0.000 0.000
0.500 0.000 0.500
0.000 0.500 0.500
```

Its space group is C2/m, No. 12. The formation energy from raw total energies is -0.25 eV per atom. The calculation puts the energy above the most stable polymorph in this dataset at 362.9 meV/atom.

no.,calculated total energy (eV for the cell shown),M_tot (μB/f.u.)
1,-41.57,0.00
2,-24.34,0.00